1.
# MgSc2In

A relaxed structure of MgSc2In (PBE, Alexandria).

Cell: 10.4947 10.4947 10.4947 Å, 17.96 17.96 17.96°
Site moments in Bohr magnetons follow the coordinates.
Fractional coordinates of all 4 atoms:
In1 0.4998 0.4998 0.4998  0.00
Mg1 0.7518 0.7518 0.7518  0.00
Sc1 0.9988 0.9988 0.9988  0.20
Sc2 0.2496 0.2496 0.2496  0.18

Size of the total moment, μB/f.u.: 0.665
Calculated formation energy, eV/atom: -0.087
ρ, g/cm3: 3.96
Energy, Ry per atom: -0.319
Distance to the lowest polymorph of the same formula, eV per atom: 0.211

***

2.
# Ga2AgTe4

A relaxed structure of Ga2AgTe4 (PBE, Alexandria).

Cell: 5.8188 5.8188 6.7091 Å, 90.00 90.00 90.00°
Fractional coordinates of all 7 atoms:
Ga1 0.5000 0.0000 0.5000
Ga2 0.0000 0.5000 0.5000
Ag1 0.0000 0.0000 0.0000
Te1 0.7289 0.2711 0.7498
Te2 0.2711 0.2711 0.2502
Te3 0.2711 0.7289 0.7498
Te4 0.7289 0.7289 0.2502

Size of the total moment, μB/f.u.: 0.000
Uncorrected formation energy, eV per atom: -0.23
ρ, g/cm3: 5.54
Energy, Ry per atom: -0.243

***

3.
# La2SiPt

A relaxed structure of La2SiPt (PBE, Alexandria).

Cell: 5.0843 5.0843 3.8681 Å, 89.96 89.96 85.78°
Fractional coordinates of all 4 atoms:
La1 0.0000 0.0000 0.0000
La2 0.5000 0.5000 0.0000
Pt1 0.5000 0.0000 0.5000
Si1 0.0000 0.5000 0.5000

Size of the total moment, μB/f.u.: 0.000
Uncorrected formation energy, eV per atom: -0.76
ρ, g/cm3: 8.34
Energy, Ry per atom: -0.447

***

4.
# Ge2BiAs

A relaxed structure of Ge2BiAs (PBE, Alexandria).

Cell: 6.7344 6.7344 7.0421 Å, 61.44 61.44 90.00°
Fractional coordinates of all 8 atoms:
As1 0.5000 0.5000 0.0000
As2 0.2500 0.7500 0.5000
Ge1 0.5859 0.1250 0.2500
Ge2 0.1641 0.6250 0.2500
Ge3 0.3750 0.4141 0.7500
Ge4 0.8750 0.8359 0.7500
Bi1 0.0000 0.0000 0.0000
Bi2 0.7500 0.2500 0.5000

Size of the total moment, μB/f.u.: 0.000
Calculated formation energy, eV/atom: 0.263
ρ, g/cm3: 6.06
Energy, Ry per atom: -0.307
Distance to the lowest polymorph of the same formula, eV per atom: 0.000